(1)
VASP calculation (PBE) on a geometry-optimized K2SrCu structure.

```
data_K2SrCu
_chemical_formula_sum 'K2 Sr1 Cu1'
_space_group_name_H-M_alt 'P 1'
_space_group_IT_number 1
_space_group_name_Hall 'P 1'
_cell_length_a 5.9697
_cell_length_b 5.9697
_cell_length_c 8.7517
_cell_angle_alpha 71.65
_cell_angle_beta 71.65
_cell_angle_gamma 41.73
loop_
_atom_site_label
_atom_site_type_symbol
_atom_site_fract_x
_atom_site_fract_y
_atom_site_fract_z
K1 K 0.9162 0.9162 0.0504
Sr1 Sr 0.5645 0.5645 0.3759
Cu1 Cu 0.2748 0.2748 0.3751
K2 K 0.7445 0.7445 0.6986
```

Summary:
Space-group type = Cm (8)
Raw total energy = -7.145 eV/cell
Formation enthalpy at 0 K = 0.21 eV per atom
Relative energy among the computed polymorphs = 71.1 meV/atom

(2)
VASP calculation (PBE) on a geometry-optimized K2SrCu structure.

```
data_K2SrCu
_chemical_formula_sum 'K2 Sr1 Cu1'
_space_group_name_H-M_alt 'P 1'
_space_group_IT_number 1
_space_group_name_Hall 'P 1'
_cell_length_a 4.2629
_cell_length_b 4.4847
_cell_length_c 10.5036
_cell_angle_alpha 77.65
_cell_angle_beta 90.00
_cell_angle_gamma 90.00
loop_
_atom_site_label
_atom_site_type_symbol
_atom_site_fract_x
_atom_site_fract_y
_atom_site_fract_z
K1 K 0.5000 0.1631 0.2987
K2 K 0.0000 0.8434 0.9415
Sr1 Sr 0.0000 0.5109 0.6020
Cu1 Cu 0.5000 0.9825 0.6578
```

Summary:
Space-group type = Pm (6)
Raw total energy = -7.429 eV/cell
Formation enthalpy at 0 K = 0.14 eV per atom
Relative energy among the computed polymorphs = 0.0 meV/atom

(3)
VASP calculation (PBE) on a geometry-optimized KSr2TlCu structure.

```
data_KSr2TlCu
_chemical_formula_sum 'K1 Sr2 Tl1 Cu1'
_space_group_name_H-M_alt 'P 1'
_space_group_IT_number 1
_space_group_name_Hall 'P 1'
_cell_length_a 6.1609
_cell_length_b 6.1609
_cell_length_c 5.1817
_cell_angle_alpha 90.00
_cell_angle_beta 90.00
_cell_angle_gamma 90.00
loop_
_atom_site_label
_atom_site_type_symbol
_atom_site_fract_x
_atom_site_fract_y
_atom_site_fract_z
Sr1 Sr 0.0000 0.5000 0.0000
Cu1 Cu 0.0000 0.0000 0.0000
K1 K 0.5000 0.5000 0.5000
Tl1 Tl 0.0000 0.0000 0.5000
Sr2 Sr 0.5000 0.0000 0.0000
```

Summary:
Space-group type = P4/mmm (123)
Raw total energy = -10.851 eV/cell
Formation enthalpy at 0 K = 0.01 eV per atom
Relative energy among the computed polymorphs = 0.0 meV/atom

(4)
VASP calculation (PBE) on a geometry-optimized KSr2TlCu structure.

```
data_KSr2TlCu
_chemical_formula_sum 'K1 Sr2 Tl1 Cu1'
_space_group_name_H-M_alt 'P 1'
_space_group_IT_number 1
_space_group_name_Hall 'P 1'
_cell_length_a 6.7906
_cell_length_b 5.7699
_cell_length_c 6.7906
_cell_angle_alpha 90.00
_cell_angle_beta 90.00
_cell_angle_gamma 90.00
loop_
_atom_site_label
_atom_site_type_symbol
_atom_site_fract_x
_atom_site_fract_y
_atom_site_fract_z
K1 K 0.0000 0.0000 0.0000
Sr1 Sr 0.0000 0.0000 0.5000
Sr2 Sr 0.5000 0.0000 0.0000
Cu1 Cu 0.5000 0.5000 0.5000
Tl1 Tl 0.0000 0.5000 0.0000
```

Summary:
Space-group type = P4/mmm (123)
Raw total energy = -6.083 eV/cell
Formation enthalpy at 0 K = 0.97 eV per atom
Relative energy among the computed polymorphs = 953.8 meV/atom